[1]
## HOsI2N (PBE)

Data for a relaxed HOsI2N crystal.

a = 5.600 Å, b = 5.600 Å, c = 3.711 Å
α = 90.00°, β = 90.00°, γ = 90.00°
Sites, in units of the cell vectors:
I 0.000 0.500 0.000
H 0.500 0.500 0.500
Os 0.000 0.000 0.000
N 0.000 0.000 0.500
I 0.500 0.000 0.000

Results
**Crystal system**: tetragonal
**Total DFT energy (no corrections)**: -4.374 eV per atom
**N(E_F)**: 3.450 states/eV per cell
**Energy above the most stable polymorph in this dataset**: 0 meV per atom

[2]
## PaHIN2 (PBE)

Data for a relaxed PaHIN2 crystal.

a = 3.703 Å, b = 5.635 Å, c = 9.258 Å
α = 90.13°, β = 90.00°, γ = 90.00°
Sites, in units of the cell vectors:
N 0.750 0.510 0.613
I 0.250 0.751 0.999
N 0.750 0.021 0.600
H 0.250 0.402 0.289
H 0.750 0.598 0.711
N 0.250 0.490 0.387
Pa 0.250 0.236 0.582
N 0.250 0.979 0.400
Pa 0.750 0.764 0.418
I 0.750 0.249 0.001

Results
**Crystal system**: monoclinic
**Total DFT energy (no corrections)**: -6.995 eV per atom
**N(E_F)**: 7.288 states/eV per cell

[3]
## HPbI2N (PBE)

Data for a relaxed HPbI2N crystal.

a = 6.198 Å, b = 6.198 Å, c = 4.767 Å
α = 90.00°, β = 90.00°, γ = 90.00°
Sites, in units of the cell vectors:
N 0.000 0.000 0.500
I 0.500 0.000 0.000
Pb 0.000 0.000 0.000
H 0.500 0.500 0.500
I 0.000 0.500 0.000

Results
**Crystal system**: tetragonal
**Total DFT energy (no corrections)**: -2.599 eV per atom
**N(E_F)**: 2.585 states/eV per cell
**Energy above the most stable polymorph in this dataset**: 162 meV per atom

[4]
## HPbI2N (PBE)

Data for a relaxed HPbI2N crystal.

a = 6.049 Å, b = 6.049 Å, c = 3.325 Å
α = 90.00°, β = 90.00°, γ = 90.00°
Sites, in units of the cell vectors:
I 0.000 0.500 0.000
H 0.000 0.000 0.000
N 0.000 0.000 0.500
I 0.500 0.000 0.000
Pb 0.500 0.500 0.500

Results
**Crystal system**: tetragonal
**Total DFT energy (no corrections)**: -2.761 eV per atom
**N(E_F)**: 0.931 states/eV per cell
**Energy above the most stable polymorph in this dataset**: 0 meV per atom

[5]
## HPdIN2 (PBE)

Data for a relaxed HPdIN2 crystal.

a = 3.737 Å, b = 3.737 Å, c = 8.806 Å
α = 90.00°, β = 90.00°, γ = 90.00°
Sites, in units of the cell vectors:
N 0.000 0.500 0.000
I 0.000 0.000 0.500
Pd 0.000 0.000 0.000
H 0.500 0.500 0.500
N 0.500 0.000 0.000

Results
**Crystal system**: tetragonal
**Total DFT energy (no corrections)**: -3.657 eV per atom
**N(E_F)**: 3.822 states/eV per cell
**Energy above the most stable polymorph in this dataset**: 0 meV per atom

[6]
## H12PdI8N4 (PBE)

Data for a relaxed H12PdI8N4 crystal.

a = 8.790 Å, b = 9.318 Å, c = 14.567 Å
α = 105.95°, β = 90.00°, γ = 90.00°
Sites, in units of the cell vectors:
H 0.009 0.751 0.803
I 0.750 0.200 0.415
H 0.619 0.069 0.699
N 0.420 0.012 0.271
H 0.995 0.068 0.315
H 0.495 0.932 0.685
H 0.031 0.957 0.207
H 0.381 0.931 0.301
I 0.250 0.144 0.581
I 0.750 0.305 0.653
N 0.920 0.696 0.763
N 0.920 0.988 0.729
I 0.250 0.800 0.585
H 0.509 0.249 0.197
I 0.750 0.818 0.087
I 0.250 0.182 0.913
I 0.750 0.544 0.415
I 0.750 0.140 0.081
I 0.250 0.860 0.919
I 0.250 0.610 0.141
H 0.882 0.619 0.796
H 0.964 0.637 0.698
N 0.580 0.988 0.729
H 0.531 0.043 0.793
N 0.420 0.304 0.237
N 0.080 0.304 0.237
H 0.969 0.043 0.793
H 0.536 0.637 0.698
H 0.618 0.619 0.796
I 0.250 0.695 0.347
Pd 0.750 0.842 0.746
H 0.119 0.931 0.301
H 0.005 0.932 0.685
H 0.036 0.363 0.302
I 0.250 0.456 0.585
H 0.382 0.381 0.204
I 0.750 0.856 0.419
H 0.881 0.069 0.699
Pd 0.250 0.158 0.254
I 0.750 0.390 0.859
I 0.750 0.492 0.087
N 0.580 0.696 0.763
H 0.118 0.381 0.204
H 0.505 0.068 0.315
H 0.491 0.751 0.803
H 0.464 0.363 0.302
H 0.469 0.957 0.207
N 0.080 0.012 0.271
I 0.250 0.508 0.913
H 0.991 0.249 0.197

Results
**Crystal system**: monoclinic
**Total DFT energy (no corrections)**: -3.973 eV per atom

[7]
## HPdIN2 (PBE)

Data for a relaxed HPdIN2 crystal.

a = 4.084 Å, b = 4.084 Å, c = 3.557 Å
α = 90.00°, β = 90.00°, γ = 90.00°
Sites, in units of the cell vectors:
N 0.000 0.500 0.000
Pd 0.500 0.500 0.500
N 0.500 0.000 0.000
H 0.000 0.000 0.000
I 0.000 0.000 0.500

Results
**Crystal system**: tetragonal
**Total DFT energy (no corrections)**: -3.121 eV per atom
**N(E_F)**: 3.428 states/eV per cell
**Energy above the most stable polymorph in this dataset**: 536 meV per atom

[8]
## H6PtIN2 (PBE)

Data for a relaxed H6PtIN2 crystal.

a = 8.363 Å, b = 8.363 Å, c = 9.496 Å
α = 92.04°, β = 92.04°, γ = 148.64°
Sites, in units of the cell vectors:
I 0.099 0.901 0.250
Pt 0.465 0.535 0.750
H 0.954 0.349 0.440
H 0.509 0.743 0.070
N 0.490 0.843 0.104
Pt 0.535 0.465 0.250
H 0.100 0.448 0.288
H 0.491 0.257 0.930
I 0.901 0.099 0.750
H 0.900 0.552 0.712
H 0.552 0.900 0.212
H 0.257 0.491 0.430
H 0.651 0.046 0.060
H 0.448 0.100 0.788
N 0.843 0.490 0.604
N 0.157 0.510 0.396
H 0.743 0.509 0.570
H 0.046 0.651 0.560
N 0.510 0.157 0.896
H 0.349 0.954 0.940

Results
**Crystal system**: monoclinic
**Total DFT energy (no corrections)**: -4.525 eV per atom
**N(E_F)**: 4.482 states/eV per cell

Question: The lowest total DFT energy (no corrections) belongs to which entry?
Answer: PaHIN2

Question: What is the total DFT energy (no corrections) in the first record?
Answer: -4.374 eV per atom

Question: The lowest total DFT energy (no corrections) belongs to which entry?
Answer: PaHIN2